A plane-wave DFT calculation with GGA+U was carried out for a relaxed structure of BaNdEuWO6.

abc: 6.095 6.095 6.095
angles: 60.00 60.00 60.00
Each line ends with the local moment (μB).
Positions (direct):
Ba1 0.250 0.250 0.250  0.02
Nd1 0.000 0.000 0.000  0.08
Eu1 0.750 0.750 0.750  6.90
W1 0.500 0.500 0.500  0.90
O1 0.269 0.731 0.269  -0.04
O2 0.731 0.269 0.731  -0.04
O3 0.269 0.731 0.731  -0.04
O4 0.731 0.269 0.269  -0.04
O5 0.269 0.269 0.731  -0.04
O6 0.731 0.731 0.269  -0.04

Space group: F-43m
Total moment in Bohr magnetons per cell: 8.00
Uncorrected energy in eV per atom: -8.027